# HoTeS

A relaxed HoTeS crystal (PBE, Alexandria via LeMat-Bulk).

Output
Formation energy from raw total energies, eV per atom: -1.25
Space group: I4mm (107)
Final energy, eV per atom: -5.20
Energy above the lowest structure with this stoichiometry, meV per atom: 240
Total moment, μB per formula unit: 0.000

The structure in POSCAR format:
```
HoTeS
1.0
-1.730 1.730 7.196
1.730 -1.730 7.196
1.730 1.730 -7.196
Ho Te S
1 1 1
direct
0.000 0.000 0.000
0.668 0.668 0.000
0.419 0.419 0.000
```